Below is a relaxed structure of Ag2MoW, with properties calculated at the PBE level.

Its energy above the most stable polymorph in this dataset is 28.8 kJ/mol of atoms. The calculated formation energy comes out at 0.603 eV per atom.

abc: 9.9958 9.9958 9.9958
angles: 16.05 16.05 16.05
Closest atoms and distances in Å follow each position.
Atoms (fractional coordinates):
Ag1 0.2500 0.2500 0.2500  6 Ag 2.79, 3 Mo 2.94, 3 W 2.95
Ag2 0.7500 0.7500 0.7500  6 Ag 2.79, 3 Mo 2.94, 3 W 2.95
Mo1 0.0000 0.0000 0.0000  6 Mo 2.79, 6 Ag 2.94
W1 0.5000 0.5000 0.5000  6 W 2.79, 6 Ag 2.95